[1]
A relaxed KOs4Cl crystal. Source: the Alexandria database, functional PBE-GGA.

a = 5.368 Å, b = 5.368 Å, c = 5.368 Å
α = 60.00°, β = 60.00°, γ = 60.00°
Sites, in units of the cell vectors:
K (0.000, 0.000, 0.000)
Os (0.126, 0.625, 0.625)
Os (0.625, 0.126, 0.625)
Os (0.625, 0.625, 0.126)
Os (0.625, 0.625, 0.625)
Cl (0.250, 0.250, 0.250)

The uncorrected formation energy comes out at 1.509 eV/atom. The total magnetization is 1.65 μB per formula unit.

---

[2]
A relaxed Pr2Nd2BRh4 crystal. Source: the Alexandria database, functional PBE-GGA.

a = 6.327 Å, b = 6.327 Å, c = 6.327 Å
α = 115.30°, β = 115.30°, γ = 98.35°
Sites, in units of the cell vectors:
Pr (0.250, 0.750, 0.500)
Pr (0.750, 0.250, 0.500)
Nd (0.187, 0.187, 0.000)
Nd (0.813, 0.813, 0.000)
B (0.500, 0.500, 0.000)
Rh (0.280, 0.280, 0.561)
Rh (0.280, 0.720, 0.000)
Rh (0.720, 0.280, 0.000)
Rh (0.720, 0.720, 0.439)

The total magnetization is 0.00 μB per formula unit. As for the total energy: -59.008 eV for the cell shown.

---

[3]
A relaxed Mg3BiSe crystal. Source: the Alexandria database, functional PBE-GGA.

a = 5.492 Å, b = 5.492 Å, c = 5.492 Å
α = 90.00°, β = 90.00°, γ = 90.00°
Sites, in units of the cell vectors:
Mg (0.000, 0.000, 0.500)
Mg (0.000, 0.500, 0.000)
Mg (0.500, 0.000, 0.000)
Bi (0.000, 0.000, 0.000)
Se (0.500, 0.500, 0.500)

The uncorrected formation energy comes out at 0.189 eV/atom. The total magnetization is 0.00 μB per formula unit. Its energy above the most stable polymorph in this dataset is 403 meV/atom.

---

[4]
A relaxed Pr4PuCo5 crystal. Source: the Alexandria database, functional PBE-GGA.

a = 7.056 Å, b = 7.056 Å, c = 7.056 Å
α = 96.77°, β = 96.77°, γ = 139.83°
Sites, in units of the cell vectors:
Pr (0.000, 0.287, 0.287)
Pr (0.000, 0.713, 0.713)
Pr (0.287, 0.000, 0.287)
Pr (0.713, 0.000, 0.713)
Pu (0.614, 0.614, 0.000)
Co (0.126, 0.126, 0.000)
Co (0.311, 0.311, 0.649)
Co (0.311, 0.663, 0.000)
Co (0.663, 0.311, 0.000)
Co (0.663, 0.663, 0.351)

The total magnetization is 1.67 μB per formula unit. As for the total energy: -67.758 eV for the cell shown.

---

[5]
A relaxed Ho3Ga4Ru2 crystal. Source: the Alexandria database, functional PBE-GGA.

a = 5.631 Å, b = 5.631 Å, c = 8.338 Å
α = 106.44°, β = 106.44°, γ = 45.65°
Sites, in units of the cell vectors:
Ho (0.000, 0.000, 0.000)
Ho (0.367, 0.367, 0.309)
Ho (0.633, 0.633, 0.691)
Ga (0.089, 0.089, 0.402)
Ga (0.282, 0.282, 0.928)
Ga (0.718, 0.718, 0.072)
Ga (0.911, 0.911, 0.598)
Ru (0.316, 0.316, 0.644)
Ru (0.684, 0.684, 0.356)

The total magnetization is 0.00 μB per formula unit. Its energy above the most stable polymorph in this dataset is 0 meV/atom.

---

[6]
A relaxed La12PrY3 crystal. Source: the Alexandria database, functional PBE-GGA.

a = 5.229 Å, b = 5.229 Å, c = 20.921 Å
α = 90.00°, β = 90.00°, γ = 90.00°
Sites, in units of the cell vectors:
La (0.000, 0.000, 0.000)
La (0.000, 0.000, 0.249)
La (0.000, 0.000, 0.500)
La (0.000, 0.000, 0.751)
La (0.000, 0.500, 0.124)
La (0.000, 0.500, 0.374)
La (0.000, 0.500, 0.626)
La (0.000, 0.500, 0.876)
La (0.500, 0.000, 0.124)
La (0.500, 0.000, 0.374)
La (0.500, 0.000, 0.626)
La (0.500, 0.000, 0.876)
Pr (0.500, 0.500, 0.500)
Y (0.500, 0.500, 0.000)
Y (0.500, 0.500, 0.249)
Y (0.500, 0.500, 0.751)

The total magnetization is 0.00 μB per formula unit. As for the total energy: -83.192 eV for the cell shown.